Computed, not measured: crystalline CoHgIO2 at its relaxed geometry at the GGA+U level of DFT.

Unit cell a=3.9765 b=3.9765 c=6.0540 alpha=90.00 beta=90.00 gamma=90.00
Closest atoms and distances in Å follow each position.
Fractional coordinates of all 5 atoms:
Co  0.0000  0.0000  0.0000  4 O 1.99
Hg  0.5000  0.5000  0.5000  4 I 2.81
I  0.0000  0.0000  0.5000  4 Hg 2.81, 2 Co 3.03
O  0.0000  0.5000  0.0000  2 Co 1.99
O  0.5000  0.0000  0.0000  2 Co 1.99

Values from the calculation:
As for the excess energy over the best structure of this formula in the dataset: 0 meV per atom. The density of states at the Fermi level is 0.4724 states/eV/atom. For the volume, the calculation gives 95.7 Å³/f.u. The calculation puts the energy at -3.348 eV/atom. Its symmetry is P4/mmm.